(i)
This record from Alexandria describes an optimized crystal structure of Ni2HRh. The functional is GGA-PBE.

Results
The symmetry is P4/mmm, No. 123. As for the calculated volume: 40.2 Å³/cell. The calculation puts the theoretical density at 9.141 g/cm³. The value obtained for the total magnetization is 1.882 μB per cell.

Geometry as POSCAR:
```
Ni2HRh
1.0
2.5562 0.0000 0.0000
0.0000 2.5562 0.0000
0.0000 0.0000 6.1527
Ni H Rh
2 1 1
direct
0.0000 0.0000 0.1917 Ni
0.0000 0.0000 0.8083 Ni
0.5000 0.5000 0.0000 H
0.5000 0.5000 0.5000 Rh
```



(ii)
This record from Alexandria describes an optimized crystal structure of Ni2HRh. The functional is GGA-PBE.

Results
The symmetry is R-3m, No. 166. As for the calculated volume: 129.6 Å³/cell. The calculation puts the theoretical density at 8.506 g/cm³. The value obtained for the total magnetization is 4.260 μB per cell.

Geometry as POSCAR:
```
Ni2HRh
1.0
2.6131 0.0000 0.0000
-1.3065 2.2630 0.0000
0.0000 0.0000 21.9188
Ni H Rh
6 3 3
direct
0.0000 0.0000 0.0703 Ni
0.0000 0.0000 0.9297 Ni
0.3333 0.6667 0.5964 Ni
0.3333 0.6667 0.7370 Ni
0.6667 0.3333 0.2630 Ni
0.6667 0.3333 0.4036 Ni
0.0000 0.0000 0.0000 H
0.3333 0.6667 0.6667 H
0.6667 0.3333 0.3333 H
0.0000 0.0000 0.5000 Rh
0.3333 0.6667 0.1667 Rh
0.6667 0.3333 0.8333 Rh
```



Winner for stability: (ii)



(i)
This record from Alexandria describes an optimized crystal structure of Ni2HRh. The functional is GGA-PBE.

Results
The symmetry is R3m, No. 160. As for the calculated volume: 115.8 Å³/cell. The calculation puts the theoretical density at 9.518 g/cm³. The value obtained for the total magnetization is 4.627 μB per cell.

Geometry as POSCAR:
```
Ni2HRh
1.0
2.6523 0.0000 0.0000
-1.3261 2.2969 0.0000
0.0000 0.0000 19.0131
Ni H Rh
6 3 3
direct
0.0000 0.0000 0.0000 Ni
0.0000 0.0000 0.2228 Ni
0.3333 0.6667 0.6667 Ni
0.3333 0.6667 0.8895 Ni
0.6667 0.3333 0.3333 Ni
0.6667 0.3333 0.5561 Ni
0.0000 0.0000 0.6113 H
0.3333 0.6667 0.2780 H
0.6667 0.3333 0.9446 H
0.0000 0.0000 0.7777 Rh
0.3333 0.6667 0.4444 Rh
0.6667 0.3333 0.1110 Rh
```



(ii)
This record from Alexandria describes an optimized crystal structure of Ni2HRh. The functional is GGA-PBE.

Results
The symmetry is Fm-3m, No. 225. As for the calculated volume: 178.4 Å³/cell. The calculation puts the theoretical density at 8.239 g/cm³. The value obtained for the total magnetization is 7.992 μB per cell.

Geometry as POSCAR:
```
Ni2HRh
1.0
5.6295 0.0000 0.0000
0.0000 5.6295 0.0000
0.0000 0.0000 5.6295
Ni H Rh
8 4 4
direct
0.2500 0.2500 0.2500 Ni
0.2500 0.2500 0.7500 Ni
0.2500 0.7500 0.2500 Ni
0.2500 0.7500 0.7500 Ni
0.7500 0.2500 0.2500 Ni
0.7500 0.2500 0.7500 Ni
0.7500 0.7500 0.2500 Ni
0.7500 0.7500 0.7500 Ni
0.0000 0.0000 0.0000 H
0.0000 0.5000 0.5000 H
0.5000 0.0000 0.5000 H
0.5000 0.5000 0.0000 H
0.0000 0.0000 0.5000 Rh
0.0000 0.5000 0.0000 Rh
0.5000 0.0000 0.0000 Rh
0.5000 0.5000 0.5000 Rh
```



Winner for stability: (i)